# CaHo3Ir4 | Alexandria via LeMat-Bulk | GGA-PBE | relaxed
# ΔE_f, eV/atom: -0.6852
# V, Å³ per cell: 158.2
# Final energy, eV/atom: -7.0826
data_CaHo3Ir4
_chemical_formula_sum 'Ca1 Ho3 Ir4'
_cell_length_a 4.851
_cell_length_b 4.851
_cell_length_c 6.725
_cell_angle_alpha 90.00
_cell_angle_beta 90.00
_cell_angle_gamma 90.00
_space_group_name_H-M_alt 'P 4/m m m'
_space_group_IT_number 123
_space_group_name_Hall '-P 4 2'
loop_
_atom_site_label
_atom_site_type_symbol
_atom_site_fract_x
_atom_site_fract_y
_atom_site_fract_z
Ca1 Ca 0.000 0.000 0.000
Ho1 Ho 0.000 0.000 0.500
Ho2 Ho 0.500 0.500 0.000
Ho3 Ho 0.500 0.500 0.500
Ir1 Ir 0.000 0.500 0.257